MnPOs3 after structural relaxation. Source: Alexandria via LeMat-Bulk, functional GGA-PBE.

Results
E above lowest polymorph   0.0 meV/atom
Final energy   -8.79 eV/atom

Cell lengths 4.3443, 4.3443, 4.3443 Å; angles 90.00, 90.00, 90.00 degrees
Atoms (fractional coordinates):
Mn: 0.0000 0.0000 0.0000
P: 0.5000 0.5000 0.5000
Os: 0.0000 0.5000 0.5000
Os: 0.5000 0.0000 0.5000
Os: 0.5000 0.5000 0.0000


Mn4POs after structural relaxation. Source: Alexandria via LeMat-Bulk, functional GGA-PBE.

Results
Final energy   -8.50 eV/atom

Cell lengths 4.6460, 4.6460, 4.6460 Å; angles 60.00, 60.00, 60.00 degrees
Atoms (fractional coordinates):
Mn: 0.1239 0.1239 0.1239
Mn: 0.1239 0.1239 0.6284
Mn: 0.1239 0.6284 0.1239
Mn: 0.6284 0.1239 0.1239
P: 0.7500 0.7500 0.7500
Os: 0.5000 0.5000 0.5000


MnPOs2Pb after structural relaxation. Source: Alexandria via LeMat-Bulk, functional GGA-PBE.

Results
Final energy   -6.97 eV/atom

Cell lengths 4.6256, 4.6256, 4.2117 Å; angles 90.00, 90.00, 90.00 degrees
Atoms (fractional coordinates):
Mn: 0.0000 0.0000 0.0000
P: 0.0000 0.0000 0.5000
Os: 0.0000 0.5000 0.0000
Os: 0.5000 0.0000 0.0000
Pb: 0.5000 0.5000 0.5000


PmMnP2Os after structural relaxation. Source: Alexandria via LeMat-Bulk, functional GGA-PBE.

Results
Final energy   -8.01 eV/atom

Cell lengths 4.0304, 4.0304, 9.8164 Å; angles 90.00, 90.00, 90.00 degrees
Atoms (fractional coordinates):
Pm: 0.0000 0.0000 0.0000
Pm: 0.5000 0.5000 0.5000
Mn: 0.0000 0.5000 0.7500
Mn: 0.5000 0.0000 0.2500
P: 0.0000 0.0000 0.3642
P: 0.0000 0.0000 0.6358
P: 0.5000 0.5000 0.1358
P: 0.5000 0.5000 0.8642
Os: 0.0000 0.5000 0.2500
Os: 0.5000 0.0000 0.7500


Number 1: ΔE_f 866 meV/atom. Number 2: ΔE_f 386 meV/atom. Number 3: ΔE_f 1179 meV/atom. Number 4: ΔE_f -818 meV/atom.